The following is a PBE-GGA calculation of SrCrAsW2 after structural relaxation, from Alexandria.

Computed properties:
total moment	0.1	μB per formula unit
DFT formation energy	1.3531	eV per atom
calculated density	8.52	g/cm3
relative energy among the computed polymorphs	0.245	eV/atom
DOS at the Fermi energy	5.70	states/eV/cell

Cell: 4.5023 4.5023 5.5988 Å, 90.00 90.00 90.00°
Last column: nearest neighbours and their distance in Å.
Atoms (fractional coordinates):
Sr 0.0000 0.0000 0.0000  2 Cr 2.80
Cr 0.0000 0.0000 0.5000  4 W 2.25
As 0.5000 0.5000 0.0000  4 Sr 3.18
W 0.0000 0.5000 0.5000  2 Cr 2.25
W 0.5000 0.0000 0.5000  2 Cr 2.25